NaPrHf4O12 | PBE | relaxed

Summary:
formation energy from raw total energies = -49.17 eV per formula unit
energy = -8.588 eV/atom

CIF file:
```
data_NaPrHf4O12
_symmetry_space_group_name_H-M 'A m m 2'
_symmetry_Int_Tables_number 38
_symmetry_space_group_name_Hall 'A 2 -2'
_cell_length_a 8.234
_cell_length_b 8.082
_cell_length_c 8.097
_cell_angle_alpha 90.00
_cell_angle_beta 90.00
_cell_angle_gamma 90.00
loop_
_atom_site_label
_atom_site_type_symbol
_atom_site_fract_x
_atom_site_fract_y
_atom_site_fract_z
Na1 Na 0.000 0.000 0.000
Pr1 Pr 0.500 0.000 0.481
Hf1 Hf 0.239 0.246 0.742
O1 O 0.000 0.208 0.219
O2 O 0.207 0.000 0.784
O3 O 0.281 0.217 0.493
O4 O 0.304 0.000 0.244
O5 O 0.500 0.196 0.728
```